This record from Alexandria describes a relaxed CuBPd2Pb crystal. The functional is PBE.

a b c (Å): 4.339 4.339 4.152
angles (deg): 90.00 90.00 90.00
Positions (direct):
Pb (0.500, 0.500, 0.500)
B (0.000, 0.000, 0.000)
Cu (0.000, 0.000, 0.500)
Pd (0.000, 0.500, 0.000)
Pd (0.500, 0.000, 0.000)

- Uncorrected energy: -0.18339 hartree per atom
- Fermi-level density of states: 2.0 states/eV/cell
- Energy of formation from the pure elements: -0.0169 eV per atom
- Symmetry: P4/mmm, No. 123

This record from Alexandria describes a relaxed CuBPt2Pb crystal. The functional is PBE.

a b c (Å): 4.300 4.300 4.362
angles (deg): 90.00 90.00 90.00
Positions (direct):
Pb (0.500, 0.500, 0.500)
B (0.000, 0.000, 0.000)
Cu (0.000, 0.000, 0.500)
Pt (0.000, 0.500, 0.000)
Pt (0.500, 0.000, 0.000)

- Uncorrected energy: -0.19520 hartree per atom
- Fermi-level density of states: 1.9 states/eV/cell
- Energy of formation from the pure elements: 0.0010 eV per atom
- Symmetry: P4/mmm, No. 123

This record from Alexandria describes a relaxed CuB2Pt7Pb2 crystal. The functional is PBE.

a b c (Å): 3.960 3.960 13.924
angles (deg): 75.13 75.13 89.94
Positions (direct):
Cu (0.000, 0.000, 0.000)
B (0.691, 0.691, 0.783)
B (0.309, 0.309, 0.217)
Pt (0.500, 0.500, 0.000)
Pt (0.377, 0.377, 0.353)
Pt (0.623, 0.623, 0.647)
Pt (0.874, 0.374, 0.155)
Pt (0.374, 0.874, 0.155)
Pt (0.626, 0.126, 0.845)
Pt (0.126, 0.626, 0.845)
Pb (0.830, 0.830, 0.411)
Pb (0.170, 0.170, 0.589)

- Uncorrected energy: -0.21154 hartree per atom
- Fermi-level density of states: 7.0 states/eV/cell
- Energy of formation from the pure elements: -0.1603 eV per atom
- Symmetry: C2/m, No. 12

> The lowest uncorrected energy belongs to which entry?

CuB2Pt7Pb2